# 1
The following is a DFT calculation (meta-GGA SCAN) of CaFeSi4O10 at its PBEsol-relaxed geometry.

Structure (POSCAR):
```
CaFeSi4O10
1.0
-3.6750 1.9151 6.0937
-6.1478 -2.9684 -2.7748
3.5798 -13.3561 6.3564
Fe Si O Ca
4 16 40 4
Direct
0.0000 0.5000 0.4220 Fe
0.5000 0.0000 0.0780 Fe
0.0000 0.5000 0.9220 Fe
0.5000 0.0000 0.5780 Fe
0.7511 0.3268 0.6473 Si
0.3268 0.7511 0.8527 Si
0.3268 0.2489 0.3527 Si
0.1732 0.7489 0.1473 Si
0.2511 0.1732 0.8527 Si
0.2511 0.8268 0.3527 Si
0.2489 0.3268 0.1473 Si
0.6732 0.7511 0.3527 Si
0.6732 0.2489 0.8527 Si
0.7489 0.8268 0.8527 Si
0.8268 0.2511 0.1473 Si
0.7489 0.1732 0.3527 Si
0.2489 0.6732 0.6473 Si
0.7511 0.6732 0.1473 Si
0.8268 0.7489 0.6473 Si
0.1732 0.2511 0.6473 Si
0.9541 0.7525 0.1264 O
0.4541 0.7475 0.3736 O
0.2934 0.7066 0.7500 O
0.2475 0.9541 0.8736 O
0.7526 0.6014 0.4190 O
0.7066 0.2934 0.7500 O
0.7475 0.5459 0.6264 O
0.5459 0.7475 0.8736 O
0.2525 0.5459 0.1264 O
0.2474 0.6014 0.9190 O
0.1014 0.2526 0.9190 O
0.7525 0.0459 0.8736 O
0.7474 0.8986 0.5810 O
0.0459 0.7525 0.6264 O
0.3986 0.7526 0.5810 O
0.7474 0.1014 0.0810 O
0.7066 0.7066 0.2500 O
0.6014 0.2474 0.5810 O
0.7475 0.4541 0.1264 O
0.7525 0.9541 0.3736 O
0.9541 0.2475 0.6264 O
0.2066 0.2066 0.7500 O
0.2526 0.1014 0.5810 O
0.4541 0.2525 0.8736 O
0.7934 0.7934 0.7500 O
0.7934 0.2066 0.2500 O
0.8986 0.2526 0.4190 O
0.2474 0.3986 0.4190 O
0.2475 0.0459 0.3736 O
0.2526 0.8986 0.0810 O
0.6014 0.7526 0.0810 O
0.7526 0.3986 0.9190 O
0.2934 0.2934 0.2500 O
0.8986 0.7474 0.9190 O
0.3986 0.2474 0.0810 O
0.2066 0.7934 0.2500 O
0.1014 0.7474 0.4190 O
0.2525 0.4541 0.6264 O
0.5459 0.2525 0.3736 O
0.0459 0.2475 0.1264 O
0.5000 0.5000 0.5000 Ca
0.0000 0.0000 0.0000 Ca
0.5000 0.5000 0.0000 Ca
0.0000 0.0000 0.5000 Ca
```

**Raw formation energy**: -2.903 eV/atom
**Space-group type**: P4/ncc
**E**: -706.5 eV for the cell shown

***

# 2
The following is a DFT calculation (meta-GGA SCAN) of YCrPd2Cl at its PBEsol-relaxed geometry.

Structure (POSCAR):
```
YCrPd2Cl
1.0
-3.0500 3.1333 1.2020
-3.0185 -3.2712 0.8678
1.5798 -0.2331 4.6166
Y Cr Pd Cl
1 1 2 1
Direct
0.0000 0.0000 0.5000 Y
0.5000 0.5000 0.5000 Cr
0.5000 0.0000 0.0000 Pd
0.0000 0.5000 0.0000 Pd
0.0000 0.0000 0.0000 Cl
```

**Raw formation energy**: 0.063 eV/atom
**Space-group type**: P4/mmm
**E**: -119.4 eV for the cell shown

***

# 3
The following is a DFT calculation (meta-GGA SCAN) of TlCrW2 at its PBEsol-relaxed geometry.

Structure (POSCAR):
```
TlCrW2
1.0
-0.1516 3.2143 0.9453
-4.2937 -0.2857 0.2831
0.3626 -1.2341 4.2543
Cr W Tl
1 2 1
Direct
0.5000 0.0000 0.5000 Cr
0.5000 0.5000 0.0000 W
0.0000 0.0000 0.0000 W
0.0000 0.5000 0.5000 Tl
```

**Space-group type**: Pmmm
**E**: -227.4 eV for the cell shown
**Formation energy**: 681 meV per atom

***

# 4
The following is a DFT calculation (meta-GGA SCAN) of LiRuCl2O at its PBEsol-relaxed geometry.

Structure (POSCAR):
```
LiRuCl2O
1.0
-1.2772 3.8595 1.0959
-3.8658 -1.4916 0.7477
1.2371 -0.8980 4.6044
Li Ru Cl O
1 1 2 1
Direct
0.0000 0.0000 0.0000 Li
0.0000 0.0000 0.5000 Ru
0.0000 0.5000 0.0000 Cl
0.5000 0.0000 0.0000 Cl
0.5000 0.5000 0.5000 O
```

**Raw formation energy**: 0.504 eV/atom
**Space-group type**: P4/mmm
**E**: -56.9 eV for the cell shown

***

# 5
The following is a DFT calculation (meta-GGA SCAN) of AgAsPt4 at its PBEsol-relaxed geometry.

Structure (POSCAR):
```
AgAsPt4
1.0
5.2257 0.0000 0.0000
2.6129 4.5256 0.0000
2.6129 1.5085 4.2668
As Pt Ag
1 4 1
Direct
0.0000 0.0000 0.0000 As
0.6249 0.6249 0.1254 Pt
0.6249 0.1254 0.6249 Pt
0.6249 0.6249 0.6249 Pt
0.1254 0.6249 0.6249 Pt
0.2500 0.2500 0.2500 Ag
```

**Space-group type**: F-43m
**E**: -331.3 eV for the cell shown
**Formation energy**: 177 meV per atom

***

# 6
The following is a DFT calculation (meta-GGA SCAN) of PtAu2 at its PBEsol-relaxed geometry.

Structure (POSCAR):
```
PtAu2
1.0
-1.1812 -1.1654 2.2927
-1.1815 -1.9951 -1.6229
6.0860 -1.9288 0.4083
Au Pt
2 1
Direct
0.6641 0.6641 0.3282 Au
0.3359 0.3359 0.6718 Au
0.0000 0.0000 0.0000 Pt
```

**Space-group type**: I4/mmm
**E**: -208.3 eV for the cell shown
**Formation energy**: 61 meV per atom

***

# 7
The following is a DFT calculation (meta-GGA SCAN) of As2AuCSe at its PBEsol-relaxed geometry.

Structure (POSCAR):
```
As2AuCSe
1.0
4.3493 0.0000 0.0000
0.0000 4.3493 0.0000
0.0000 0.0000 4.3107
As C Se Au
2 1 1 1
Direct
0.5000 0.0000 0.0000 As
0.0000 0.5000 0.0000 As
0.0000 0.0000 0.0000 C
0.0000 0.0000 0.5000 Se
0.5000 0.5000 0.5000 Au
```

**Raw formation energy**: 1.175 eV/atom
**Space-group type**: P4/mmm
**E**: -133.8 eV for the cell shown

***

# 8
The following is a DFT calculation (meta-GGA SCAN) of LiIn3 at its PBEsol-relaxed geometry.

Structure (POSCAR):
```
LiIn3
1.0
-3.3635 -2.5753 1.3250
-1.2617 -0.5247 -4.2226
4.9923 -2.1261 1.1063
In Li
3 1
Direct
0.5000 0.0000 0.0000 In
0.7498 0.7498 0.4997 In
0.2502 0.2502 0.5003 In
0.0000 0.5000 0.0000 Li
```

**Space-group type**: I4/mmm
**E**: -103.3 eV for the cell shown
**Formation energy**: -183 meV per atom

***

# 9
The following is a DFT calculation (meta-GGA SCAN) of Zr2NbTlH at its PBEsol-relaxed geometry.

Structure (POSCAR):
```
Zr2NbTlH
1.0
-0.3655 1.8332 3.5072
2.8989 -2.9982 1.8693
3.5081 2.7302 -1.0614
Zr Tl H Nb
2 1 1 1
Direct
0.0000 0.5000 0.0000 Zr
0.0000 0.0000 0.5000 Zr
0.5000 0.5000 0.5000 Tl
0.0000 0.0000 0.0000 H
0.5000 0.0000 0.0000 Nb
```

**Space-group type**: P4/mmm
**E**: -171.9 eV for the cell shown

***

# 10
The following is a DFT calculation (meta-GGA SCAN) of CaCr2Mo at its PBEsol-relaxed geometry.

Structure (POSCAR):
```
CaCr2Mo
1.0
2.6921 0.0029 0.0000
-0.9082 2.5343 0.0000
0.0000 0.0000 8.9440
Cr Mo Ca
2 1 1
Direct
0.0000 0.0000 0.9534 Cr
0.5000 0.5000 0.7657 Cr
0.0000 0.0000 0.5410 Mo
0.5000 0.5000 0.2399 Ca
```

**Space-group type**: Cmm2
**E**: -78.4 eV for the cell shown
**Formation energy**: 740 meV per atom

***

# 11
The following is a DFT calculation (meta-GGA SCAN) of InBr2Cl at its PBEsol-relaxed geometry.

Structure (POSCAR):
```
InBr2Cl
1.0
-0.1471 3.4600 -2.1888
1.6840 -1.9452 -3.1881
-5.7247 -1.5558 -2.0746
Br In Cl
2 1 1
Direct
0.0000 0.5000 0.0000 Br
0.5000 0.0000 0.0000 Br
0.0000 0.0000 0.5000 In
0.5000 0.5000 0.5000 Cl
```

**Raw formation energy**: -0.286 eV/atom
**Space-group type**: P4/mmm
**E**: -81.4 eV for the cell shown

***

# 12
The following is a DFT calculation (meta-GGA SCAN) of Zr3ZnH at its PBEsol-relaxed geometry.

Structure (POSCAR):
```
Zr3ZnH
1.0
-4.1830 1.0835 -0.0285
-0.8007 -3.1655 -2.8304
-0.7305 -2.7346 3.2650
Zr H Zn
3 1 1
Direct
0.0000 0.5000 0.0000 Zr
0.5000 0.0000 0.0000 Zr
0.0000 0.0000 0.5000 Zr
0.0000 0.0000 0.0000 H
0.5000 0.5000 0.5000 Zn
```

**Space-group type**: Pm-3m
**E**: -110.6 eV for the cell shown